<P>
This record from Alexandria describes crystalline GaGe3Ru at its relaxed geometry. The functional is PBE-GGA.

```
data_GaGe3Ru
_chemical_formula_sum 'Ga1 Ge3 Ru1'
_space_group_name_H-M_alt 'P m -3 m'
_space_group_IT_number 221
_space_group_name_Hall '-P 4 2 3'
_cell_length_a 4.878
_cell_length_b 4.878
_cell_length_c 4.878
_cell_angle_alpha 90.00
_cell_angle_beta 90.00
_cell_angle_gamma 90.00
loop_
_atom_site_label
_atom_site_type_symbol
_atom_site_fract_x
_atom_site_fract_y
_atom_site_fract_z
Ga1 Ga 0.000 0.000 0.000
Ge1 Ge 0.000 0.000 0.500
Ru1 Ru 0.500 0.500 0.500
```

## Properties
Crystal system   cubic

<Q>
This record from Alexandria describes crystalline GaGe3Ru at its relaxed geometry. The functional is PBE-GGA.

```
data_GaGe3Ru
_chemical_formula_sum 'Ga1 Ge3 Ru1'
_space_group_name_H-M_alt 'P m -3 m'
_space_group_IT_number 221
_space_group_name_Hall '-P 4 2 3'
_cell_length_a 4.891
_cell_length_b 4.891
_cell_length_c 4.891
_cell_angle_alpha 90.00
_cell_angle_beta 90.00
_cell_angle_gamma 90.00
loop_
_atom_site_label
_atom_site_type_symbol
_atom_site_fract_x
_atom_site_fract_y
_atom_site_fract_z
Ga1 Ga 0.000 0.000 0.000
Ge1 Ge 0.000 0.500 0.500
Ru1 Ru 0.500 0.500 0.500
```

## Properties
Crystal system   cubic

Which of them is the most stable? Correct choice: <Q>.

<P>
This record from Alexandria describes crystalline Ga2GeSb2 at its relaxed geometry. The functional is PBE-GGA.

```
data_Ga2GeSb2
_chemical_formula_sum 'Ga4 Ge2 Sb4'
_space_group_name_H-M_alt 'P 4/m b m'
_space_group_IT_number 127
_space_group_name_Hall '-P 4 2ab'
_cell_length_a 7.515
_cell_length_b 7.515
_cell_length_c 4.076
_cell_angle_alpha 90.00
_cell_angle_beta 90.00
_cell_angle_gamma 90.00
loop_
_atom_site_label
_atom_site_type_symbol
_atom_site_fract_x
_atom_site_fract_y
_atom_site_fract_z
Ga1 Ga 0.125 0.375 0.000
Ge1 Ge 0.000 0.000 0.000
Sb1 Sb 0.189 0.689 0.500
```

## Properties
Crystal system   tetragonal

<Q>
This record from Alexandria describes crystalline Ga2GeSb2 at its relaxed geometry. The functional is PBE-GGA.

```
data_Ga2GeSb2
_chemical_formula_sum 'Ga4 Ge2 Sb4'
_space_group_name_H-M_alt 'P 4/m b m'
_space_group_IT_number 127
_space_group_name_Hall '-P 4 2ab'
_cell_length_a 7.989
_cell_length_b 7.989
_cell_length_c 3.739
_cell_angle_alpha 90.00
_cell_angle_beta 90.00
_cell_angle_gamma 90.00
loop_
_atom_site_label
_atom_site_type_symbol
_atom_site_fract_x
_atom_site_fract_y
_atom_site_fract_z
Ga1 Ga 0.137 0.363 0.000
Ge1 Ge 0.000 0.000 0.500
Sb1 Sb 0.163 0.663 0.500
```

## Properties
Crystal system   tetragonal

Which of them is the most stable? Correct choice: <Q>.

<P>
This record from Alexandria describes crystalline Ga2Ge2Sb at its relaxed geometry. The functional is PBE-GGA.

```
data_Ga2Ge2Sb
_chemical_formula_sum 'Ga4 Ge4 Sb2'
_space_group_name_H-M_alt 'I 4/m m m'
_space_group_IT_number 139
_space_group_name_Hall '-I 4 2'
_cell_length_a 4.618
_cell_length_b 4.618
_cell_length_c 10.204
_cell_angle_alpha 90.00
_cell_angle_beta 90.00
_cell_angle_gamma 90.00
loop_
_atom_site_label
_atom_site_type_symbol
_atom_site_fract_x
_atom_site_fract_y
_atom_site_fract_z
Ga1 Ga 0.000 0.500 0.250
Ge1 Ge 0.000 0.000 0.121
Sb1 Sb 0.000 0.000 0.500
```

## Properties
Crystal system   tetragonal

<Q>
This record from Alexandria describes crystalline Ga2Ge2Sb at its relaxed geometry. The functional is PBE-GGA.

```
data_Ga2Ge2Sb
_chemical_formula_sum 'Ga4 Ge4 Sb2'
_space_group_name_H-M_alt 'P 4/m b m'
_space_group_IT_number 127
_space_group_name_Hall '-P 4 2ab'
_cell_length_a 8.105
_cell_length_b 8.105
_cell_length_c 3.156
_cell_angle_alpha 90.00
_cell_angle_beta 90.00
_cell_angle_gamma 90.00
loop_
_atom_site_label
_atom_site_type_symbol
_atom_site_fract_x
_atom_site_fract_y
_atom_site_fract_z
Ga1 Ga 0.162 0.338 0.000
Ge1 Ge 0.131 0.631 0.500
Sb1 Sb 0.000 0.000 0.000
```

## Properties
Crystal system   tetragonal

Which of them is the most stable? Correct choice: <Q>.

<P>
This record from Alexandria describes crystalline GaGe2Sb2 at its relaxed geometry. The functional is PBE-GGA.

```
data_GaGe2Sb2
_chemical_formula_sum 'Ga2 Ge4 Sb4'
_space_group_name_H-M_alt 'P 4/m b m'
_space_group_IT_number 127
_space_group_name_Hall '-P 4 2ab'
_cell_length_a 7.924
_cell_length_b 7.924
_cell_length_c 3.772
_cell_angle_alpha 90.00
_cell_angle_beta 90.00
_cell_angle_gamma 90.00
loop_
_atom_site_label
_atom_site_type_symbol
_atom_site_fract_x
_atom_site_fract_y
_atom_site_fract_z
Ga1 Ga 0.000 0.000 0.000
Ge1 Ge 0.141 0.359 0.000
Sb1 Sb 0.156 0.656 0.500
```

## Properties
Crystal system   tetragonal

<Q>
This record from Alexandria describes crystalline GaGe2Sb2 at its relaxed geometry. The functional is PBE-GGA.

```
data_GaGe2Sb2
_chemical_formula_sum 'Ga2 Ge4 Sb4'
_space_group_name_H-M_alt 'P 4/m b m'
_space_group_IT_number 127
_space_group_name_Hall '-P 4 2ab'
_cell_length_a 8.074
_cell_length_b 8.074
_cell_length_c 3.744
_cell_angle_alpha 90.00
_cell_angle_beta 90.00
_cell_angle_gamma 90.00
loop_
_atom_site_label
_atom_site_type_symbol
_atom_site_fract_x
_atom_site_fract_y
_atom_site_fract_z
Ga1 Ga 0.000 0.000 0.000
Ge1 Ge 0.136 0.364 0.500
Sb1 Sb 0.156 0.656 0.000
```

## Properties
Crystal system   tetragonal

Which of them is the most stable? Correct choice: <P>.